Density functional theory data (PBE-GGA) for a relaxed PaSbO crystal.

Calculated values
Electronic total energy: -8.173 eV per atom
Total magnetic moment: 0.00 μB per cell
Crystal system: hexagonal
SG: P-6m2
Offset from the most stable computed form: 62.8 meV per atom
Uncorrected formation energy: -1.981 eV/atom

abc: 4.615 3.919 3.919
angles: 120.00 90.00 90.00
Fractional coordinates of all 3 atoms:
Sb (0.667, 0.667, 0.333)
Pa (0.167, 0.000, 0.000)
O (0.167, 0.333, 0.667)

***

Density functional theory data (PBE-GGA) for a relaxed Nd8Mg2In crystal.

Calculated values
Electronic total energy: -4.102 eV per atom
Calculated formation energy: -95.7 meV/atom
Total magnetic moment: 0.00 μB per cell
Crystal system: monoclinic
SG: C2/m

abc: 5.012 8.176 9.265
angles: 107.71 105.69 90.00
Fractional coordinates of all 11 atoms:
Nd (0.408, 0.556, 0.817)
Nd (0.680, 0.929, 0.361)
Nd (0.864, 0.810, 0.728)
Nd (0.947, 0.270, 0.895)
Nd (0.136, 0.190, 0.272)
Nd (0.320, 0.071, 0.639)
Nd (0.592, 0.444, 0.183)
Nd (0.053, 0.730, 0.105)
Mg (0.773, 0.367, 0.546)
Mg (0.227, 0.633, 0.454)
In (0.500, 0.000, 0.000)

***

Density functional theory data (PBE-GGA) for a relaxed PmErTm2Te6 crystal.

Calculated values
Electronic total energy: -5.055 eV per atom
Total magnetic moment: 0.00 μB per cell
Crystal system: trigonal
SG: R3
Uncorrected formation energy: -1.344 eV/atom

abc: 7.689 7.689 8.285
angles: 62.35 62.35 60.00
Fractional coordinates of all 10 atoms:
Pm (0.820, 0.820, 0.539)
Er (0.323, 0.323, 0.032)
Tm (0.509, 0.509, 0.473)
Tm (0.007, 0.007, 0.979)
Te (0.604, 0.238, 0.246)
Te (0.238, 0.912, 0.246)
Te (0.912, 0.604, 0.246)
Te (0.400, 0.733, 0.751)
Te (0.733, 0.115, 0.751)
Te (0.115, 0.400, 0.751)

***

Density functional theory data (PBE-GGA) for a relaxed BePb2F2 crystal.

Calculated values
Electronic total energy: -3.744 eV per atom
Total magnetic moment: 0.00 μB per cell
Crystal system: tetragonal
SG: I4/mmm
Offset from the most stable computed form: 73.6 meV per atom
Uncorrected formation energy: -0.767 eV/atom

abc: 3.728 3.728 7.388
angles: 75.39 75.39 90.00
Fractional coordinates of all 5 atoms:
Pb (0.373, 0.373, 0.253)
Pb (0.627, 0.627, 0.747)
Be (0.000, 0.000, 0.000)
F (0.750, 0.250, 0.500)
F (0.250, 0.750, 0.500)

***

Density functional theory data (PBE-GGA) for a relaxed K2SnS2 crystal.

Calculated values
Electronic total energy: -3.807 eV per atom
Total magnetic moment: 0.00 μB per cell
Crystal system: monoclinic
SG: P2_1/c
Offset from the most stable computed form: 0.0 meV per atom
Uncorrected formation energy: -0.916 eV/atom

abc: 7.910 8.214 10.423
angles: 90.00 105.73 90.00
Fractional coordinates of all 20 atoms:
K (0.519, 0.260, 0.036)
K (0.019, 0.240, 0.036)
K (0.981, 0.760, 0.964)
K (0.481, 0.740, 0.964)
K (0.003, 0.640, 0.323)
K (0.503, 0.860, 0.323)
K (0.497, 0.140, 0.677)
K (0.997, 0.360, 0.677)
Sn (0.438, 0.365, 0.350)
Sn (0.562, 0.635, 0.650)
Sn (0.938, 0.135, 0.350)
Sn (0.062, 0.865, 0.650)
S (0.785, 0.957, 0.148)
S (0.285, 0.543, 0.148)
S (0.715, 0.457, 0.852)
S (0.215, 0.043, 0.852)
S (0.702, 0.547, 0.464)
S (0.202, 0.953, 0.464)
S (0.798, 0.047, 0.536)
S (0.298, 0.453, 0.536)

***

Density functional theory data (PBE-GGA) for a relaxed CaY2Br crystal.

Calculated values
Electronic total energy: -4.553 eV per atom
Total magnetic moment: 0.00 μB per cell
Crystal system: orthorhombic
SG: Immm
Offset from the most stable computed form: 145.0 meV per atom
Uncorrected formation energy: -0.402 eV/atom

abc: 6.966 6.966 5.806
angles: 65.41 65.41 29.36
Fractional coordinates of all 4 atoms:
Y (0.037, 0.037, 0.963)
Y (0.463, 0.463, 0.537)
Ca (0.250, 0.250, 0.250)
Br (0.750, 0.750, 0.750)

***

What is the electronic total energy in the sixth record? -4.553 eV per atom

***

Which formula does entry 1 have? PaSbO

***

What did the third record say?
Density functional theory data (PBE-GGA) for a relaxed PmErTm2Te6 crystal.

Calculated values
Electronic total energy: -5.055 eV per atom
Total magnetic moment: 0.00 μB per cell
Crystal system: trigonal
SG: R3
Uncorrected formation energy: -1.344 eV/atom

abc: 7.689 7.689 8.285
angles: 62.35 62.35 60.00
Fractional coordinates of all 10 atoms:
Pm (0.820, 0.820, 0.539)
Er (0.323, 0.323, 0.032)
Tm (0.509, 0.509, 0.473)
Tm (0.007, 0.007, 0.979)
Te (0.604, 0.238, 0.246)
Te (0.238, 0.912, 0.246)
Te (0.912, 0.604, 0.246)
Te (0.400, 0.733, 0.751)
Te (0.733, 0.115, 0.751)
Te (0.115, 0.400, 0.751)

***

What is the electronic total energy in the sixth record? -4.553 eV per atom